[1]
! KY2Ru | the Alexandria database | PBE-GGA | optimized geometry; values from VASP
! - Offset from the most stable computed form: 400.2 meV/atom
! - Energy: -5.4375 eV/atom
! - Formation enthalpy at 0 K: 0.39 eV/atom
! - Symmetry: Cm (8)
&SYSTEM
  ibrav = 0, nat = 4, ntyp = 3
/
ATOMIC_SPECIES
Ru 101.07 Ru.upf
K 39.10 K.upf
Y 88.91 Y.upf
ATOMIC_POSITIONS angstrom
Ru 12.101 6.813 -3.873
K 10.371 5.839 -1.590
Y 7.059 3.974 -1.242
Y 10.443 5.880 -5.797
CELL_PARAMETERS angstrom
6.988 2.061 -4.216
5.387 4.905 -4.216
3.615 2.035 3.431

[2]
! KY2Ru | the Alexandria database | PBE-GGA | optimized geometry; values from VASP
! - Offset from the most stable computed form: 791.3 meV/atom
! - Energy: -5.0464 eV/atom
! - Formation enthalpy at 0 K: 0.78 eV/atom
! - Symmetry: F-43m (216)
&SYSTEM
  ibrav = 0, nat = 4, ntyp = 3
/
ATOMIC_SPECIES
Y 88.91 Y.upf
K 39.10 K.upf
Ru 101.07 Ru.upf
ATOMIC_POSITIONS angstrom
Y 0.000 0.000 0.000
K 5.272 3.044 2.152
Ru 7.908 4.565 3.228
Y 2.636 1.522 1.076
CELL_PARAMETERS angstrom
5.272 0.000 0.000
2.636 4.565 0.000
2.636 1.522 4.304

[3]
! KY2Ru | the Alexandria database | PBE-GGA | optimized geometry; values from VASP
! - Offset from the most stable computed form: 615.9 meV/atom
! - Energy: -5.2217 eV/atom
! - Formation enthalpy at 0 K: 0.60 eV/atom
! - Symmetry: Pmmm (47)
&SYSTEM
  ibrav = 0, nat = 4, ntyp = 3
/
ATOMIC_SPECIES
Ru 101.07 Ru.upf
Y 88.91 Y.upf
K 39.10 K.upf
ATOMIC_POSITIONS angstrom
Ru 0.000 2.600 2.002
Y 2.473 2.600 0.000
K 2.473 0.000 2.002
Y 0.000 0.000 0.000
CELL_PARAMETERS angstrom
4.945 0.000 0.000
0.000 5.200 0.000
0.000 0.000 4.003

[4]
! KY2Ru | the Alexandria database | PBE-GGA | optimized geometry; values from VASP
! - Offset from the most stable computed form: 669.5 meV/atom
! - Energy: -5.1682 eV/atom
! - Formation enthalpy at 0 K: 0.66 eV/atom
! - Symmetry: I-4m2 (119)
&SYSTEM
  ibrav = 0, nat = 4, ntyp = 3
/
ATOMIC_SPECIES
Y 88.91 Y.upf
Ru 101.07 Ru.upf
K 39.10 K.upf
ATOMIC_POSITIONS angstrom
Y 0.325 -2.831 -1.965
Ru -1.735 -2.974 0.361
K -2.972 -3.417 -2.841
Y 0.000 0.000 0.000
CELL_PARAMETERS angstrom
-5.032 -3.559 -0.515
-0.912 -3.274 -5.168
4.535 1.029 4.079

[5]
! K3YRu | the Alexandria database | PBE-GGA | optimized geometry; values from VASP
! - Offset from the most stable computed form: 723.6 meV/atom
! - Energy: -1.6693 eV/atom
! - Formation enthalpy at 0 K: 2.14 eV/atom
! - Symmetry: Pm-3m (221)
&SYSTEM
  ibrav = 0, nat = 5, ntyp = 3
/
ATOMIC_SPECIES
Y 88.91 Y.upf
K 39.10 K.upf
Ru 101.07 Ru.upf
ATOMIC_POSITIONS angstrom
Y 0.000 0.000 0.000
K -0.652 0.962 -3.148
K -1.951 -2.698 -0.420
Ru 0.048 -3.485 -4.651
K 2.651 -1.749 -1.083
CELL_PARAMETERS angstrom
-1.304 1.923 -6.296
5.303 -3.497 -2.167
-3.902 -5.396 -0.840

[6]
! KYRu4 | the Alexandria database | PBE-GGA | optimized geometry; values from VASP
! - Energy: -6.9864 eV/atom
! - Formation enthalpy at 0 K: 0.46 eV/atom
! - Symmetry: F-43m (216)
&SYSTEM
  ibrav = 0, nat = 6, ntyp = 3
/
ATOMIC_SPECIES
Ru 101.07 Ru.upf
K 39.10 K.upf
Y 88.91 Y.upf
ATOMIC_POSITIONS angstrom
Ru 1.591 -5.030 5.091
Ru 0.300 -3.200 6.589
Ru 0.183 -3.065 3.900
K 0.000 0.000 0.000
Ru -1.101 -5.041 5.208
Y 0.365 -6.126 7.795
CELL_PARAMETERS angstrom
2.823 -3.937 2.385
0.235 -0.270 5.389
-2.572 -3.961 2.620

[7]
! KY2Ru | the Alexandria database | PBE-GGA | optimized geometry; values from VASP
! - Offset from the most stable computed form: 470.5 meV/atom
! - Energy: -5.3671 eV/atom
! - Formation enthalpy at 0 K: 0.46 eV/atom
! - Symmetry: Fd-3m (227)
&SYSTEM
  ibrav = 0, nat = 8, ntyp = 3
/
ATOMIC_SPECIES
K 39.10 K.upf
Y 88.91 Y.upf
Ru 101.07 Ru.upf
ATOMIC_POSITIONS angstrom
K -4.289 -3.535 -1.674
Y -7.969 -3.112 -8.240
Y -4.296 -3.633 -6.487
Ru 0.000 0.000 0.000
Y -7.660 -5.161 -4.699
K -9.181 -2.776 -0.806
Y -7.042 -1.105 -4.782
Ru -6.741 -3.253 -6.052
CELL_PARAMETERS angstrom
-1.849 -4.012 -6.919
-6.729 -3.058 3.572
-7.344 1.042 -3.511

[8]
! KY3Ru | the Alexandria database | PBE-GGA | optimized geometry; values from VASP
! - Offset from the most stable computed form: 0.0 meV/atom
! - Energy: -5.9367 eV/atom
! - Formation enthalpy at 0 K: 0.02 eV/atom
! - Symmetry: Pm-3m (221)
&SYSTEM
  ibrav = 0, nat = 5, ntyp = 3
/
ATOMIC_SPECIES
Ru 101.07 Ru.upf
Y 88.91 Y.upf
K 39.10 K.upf
ATOMIC_POSITIONS angstrom
Ru 0.000 0.000 0.000
Y 0.000 0.000 2.764
K 2.764 2.764 2.764
Y 0.000 2.764 0.000
Y 2.764 0.000 0.000
CELL_PARAMETERS angstrom
5.528 0.000 0.000
0.000 5.528 0.000
0.000 0.000 5.528